{
  "formula": "Hf2ClO",
  "functional": "GGA-PBEsol",
  "state": "relaxed",
  "cell": [[-0.043, -4.429, -2.913], [-1.145, -2.836, 4.330], [-4.559, 4.294, -1.638]],
  "species": ["Hf", "Cl", "Hf", "Hf", "O", "O", "Hf", "Cl"],
  "frac_coords": [[0.792, 0.375, 0.250], [0.250, 0.750, 0.500], [0.625, 0.542, 0.750], [0.125, 0.208, 0.750], [0.500, 0.500, 0.000], [0.750, 0.250, 0.500], [0.458, 0.875, 0.250], [0.000, 0.000, 0.000]],
  "e_tot_ev_per_cell": -65.82,
  "rho_g_cm3": 9.145,
  "sg": "No. 122"
}